Here is a relaxed structure of Ac2TbTm from Alexandria via LeMat-Bulk. Energies are from PBE.

Lattice parameters (Å, degrees): 3.7885 3.7885 12.2394 81.10 81.10 60.00
Fractional positions:
Ac 0.0841 0.0841 0.7478
Ac 0.2489 0.2489 0.2534
Tb 0.6678 0.6678 0.9965
Tm 0.4992 0.4992 0.5024

The calculated total energy is -17.0 eV per cell. As for the formation enthalpy at 0 K: 0.083 eV/atom. The value obtained for the relative energy among the computed polymorphs is 0.030 eV/atom.